Entry from Alexandria via LeMat-Bulk: a PBEsol-optimized structure of LiCd (meta-GGA SCAN).

As for the crystal system: tetragonal. The total DFT energy (no corrections) comes out at -16.627 eV per atom. The value obtained for the density of states at the Fermi level is 0.64 states/eV/f.u. The value obtained for the calculated volume is 17.89 Å³ per atom.

It has space group P4/nmm (No. 129, origin choice 2), with a = 3.2636 Å, b = 3.2636 Å, c = 6.7170 Å, α = 90.00°, β = 90.00° and γ = 90.00°. The asymmetric unit holds Li at (0.2500, 0.2500, 0.1205) and Cd at (0.2500, 0.2500, 0.6476).


Entry from Alexandria via LeMat-Bulk: a PBEsol-optimized structure of ThAlPt (meta-GGA SCAN).

As for the crystal system: hexagonal. The total DFT energy (no corrections) comes out at -59.230 eV per atom. The value obtained for the density of states at the Fermi level is 1.06 states/eV/f.u. The value obtained for the calculated volume is 20.80 Å³ per atom.

It has space group P-62m (No. 189), with a = 7.2115 Å, b = 7.2115 Å, c = 4.1560 Å, α = 90.00°, β = 90.00° and γ = 120.00°. The asymmetric unit holds Th at (0.0000, 0.5798, 0.0000), Al at (0.0000, 0.2337, 0.5000), Pt at (0.0000, 0.0000, 0.0000) and Pt at (0.3333, 0.6667, 0.5000).


Entry from Alexandria via LeMat-Bulk: a PBEsol-optimized structure of MnZn (meta-GGA SCAN).

As for the crystal system: cubic. The total DFT energy (no corrections) comes out at -14.982 eV per atom. The value obtained for the density of states at the Fermi level is 1.12 states/eV/f.u. The value obtained for the calculated volume is 22.40 Å³ per atom.

It has space group F-43m (No. 216), with a = 5.6375 Å, b = 5.6375 Å, c = 5.6375 Å, α = 90.00°, β = 90.00° and γ = 90.00°. The asymmetric unit holds Mn at (0.0000, 0.0000, 0.0000) and Zn at (0.2500, 0.2500, 0.7500).


Q: What is the total DFT energy (no corrections) in the second record?
A: -59.230 eV per atom